Entry 1:
The following is a DFT calculation (PBE-GGA) of an optimized crystal structure of Ca2AgW.

```
Ca2AgW
1.0
-1.534 2.691 5.760
1.534 -2.691 5.760
1.534 2.691 -5.760
Ca Ag W
2 1 1
Direct
0.000 0.000 0.000
0.702 0.202 0.500
0.456 0.456 0.000
0.254 0.754 0.500
```

Output
Symmetry: No. 44
Excess energy over the best structure of this formula in the dataset (meV/atom): 124
Volume (Å³ per cell): 95.1
ρ (Mg/m³): 6.5
Final energy (eV per cell): -17.3
N(E_F) (states/eV/cell): 3.7
Crystal system: orthorhombic
Formation energy (eV/atom): 0.6368
Spin magnetization (μB/f.u.): 0.00

Entry 2:
The following is a DFT calculation (PBE-GGA) of an optimized crystal structure of Co2HgBr.

```
Co2HgBr
1.0
-1.596 2.281 5.638
1.596 -2.281 5.638
1.596 2.281 -5.638
Co Hg Br
2 1 1
Direct
0.000 0.000 0.000
0.856 0.356 0.500
0.382 0.882 0.500
0.662 0.662 0.000
```

Output
ΔE_f (raw) (eV/atom): 0.479
Symmetry: No. 44
Excess energy over the best structure of this formula in the dataset (meV/atom): 137
Volume (Å³ per cell): 82.1
ρ (Mg/m³): 8.1
Final energy (eV per cell): -14.3
N(E_F) (states/eV/cell): 3.5
Crystal system: orthorhombic
Spin magnetization (μB/f.u.): 3.82

Entry 3:
The following is a DFT calculation (PBE-GGA) of an optimized crystal structure of PaMn2C2.

```
PaMn2C2
1.0
0.000 4.164 4.502
3.105 0.000 4.502
3.105 4.164 0.000
Pa Mn C
2 4 4
Direct
0.125 0.125 0.125
0.875 0.875 0.875
0.237 0.237 0.513
0.487 0.487 0.763
0.513 0.513 0.237
0.763 0.763 0.487
0.187 0.563 0.187
0.437 0.813 0.437
0.563 0.187 0.563
0.813 0.437 0.813
```

Output
Symmetry: No. 70
Volume (Å³ per cell): 116.4
ρ (Mg/m³): 10.4
Final energy (eV per cell): -95.4
N(E_F) (states/eV/cell): 7.9
Crystal system: orthorhombic
Formation energy (eV/atom): -0.2788
Spin magnetization (μB/f.u.): 0.00

Q: N(E_F) of number 3 (PaMn2C2)?
A: 7.9 states/eV/cell